# 1
This record from Alexandria describes a relaxed structure of Pr3SmIn2. The functional is PBE.

It has space group Pmc2_1 (No. 26), with a = 5.377 Å, b = 10.213 Å, c = 6.916 Å, α = 90.00°, β = 90.00° and γ = 90.00°. The distinct sites, in fractional coordinates, are Pr at (0.000, 0.039, 0.000), Pr at (0.000, 0.325, 0.341), Pr at (0.500, 0.179, 0.728), Sm at (0.500, 0.459, 0.067), In at (0.000, 0.357, 0.824) and In at (0.500, 0.146, 0.247).

Its relative energy among the computed polymorphs is 0 meV/atom. The formation energy comes out at -0.3475 eV per atom.

=====

# 2
This record from Alexandria describes a relaxed structure of Fe2HgSe. The functional is PBE.

It has space group I-4m2 (No. 119), with a = 3.861 Å, b = 3.861 Å, c = 8.932 Å, α = 90.00°, β = 90.00° and γ = 90.00°. The distinct sites, in fractional coordinates, are Fe at (0.000, 0.000, 0.000), Fe at (0.000, 0.500, 0.250), Hg at (0.000, 0.500, 0.750) and Se at (0.000, 0.000, 0.500).

The total DFT energy (no corrections) comes out at -37.38 eV per cell.

=====

# 3
This record from Alexandria describes a relaxed structure of Tb3PmSm2. The functional is PBE.

It has space group C2/m (No. 12), with a = 23.351 Å, b = 3.519 Å, c = 10.344 Å, α = 90.00°, β = 108.48° and γ = 90.00°. The distinct sites, in fractional coordinates, are Tb at (0.059, 0.000, 0.445), Tb at (0.068, 0.500, 0.765), Tb at (0.195, 0.000, 0.715), Pm at (0.187, 0.000, 0.038), Sm at (0.068, 0.500, 0.139) and Sm at (0.192, 0.000, 0.372).

Its relative energy among the computed polymorphs is 0 meV/atom. The formation energy comes out at 0.1190 eV per atom.

=====

# 4
This record from Alexandria describes a relaxed structure of Pm6ErTm12. The functional is PBE.

It has space group R-3m (No. 166, hexagonal axes), with a = 13.1262 Å, b = 13.1262 Å, c = 12.5046 Å, α = 90.00°, β = 90.00° and γ = 120.00°. The distinct sites, in fractional coordinates, are Pm at (0.0385, 0.5193, 0.1175), Er at (0.0000, 0.0000, 0.5000), Tm at (0.0000, 0.2563, 0.0000) and Tm at (0.0910, 0.1820, 0.7634).

Its relative energy among the computed polymorphs is 95 meV/atom. The formation energy comes out at 0.2209 eV per atom.

=====

# 5
This record from Alexandria describes a relaxed structure of Ca2TlGaPt. The functional is PBE.

It has space group P4/mmm (No. 123), with a = 5.562 Å, b = 5.562 Å, c = 4.816 Å, α = 90.00°, β = 90.00° and γ = 90.00°. The distinct sites, in fractional coordinates, are Ca at (0.000, 0.500, 0.000), Tl at (0.000, 0.000, 0.500), Ga at (0.500, 0.500, 0.500) and Pt at (0.500, 0.500, 0.000).

The formation energy comes out at -0.5234 eV per atom.

=====

# 6
This record from Alexandria describes a relaxed structure of Rb2CuPt2. The functional is PBE.

It has space group R-3m (No. 166, hexagonal axes), with a = 4.4963 Å, b = 4.4963 Å, c = 31.9075 Å, α = 90.00°, β = 90.00° and γ = 120.00°. The distinct sites, in fractional coordinates, are Rb at (0.0000, 0.0000, 0.0749), Cu at (0.0000, 0.0000, 0.5000) and Pt at (0.0000, 0.0000, 0.1709).

Its relative energy among the computed polymorphs is 0 meV/atom. The formation energy comes out at -0.1211 eV per atom.

=====

# 7
This record from Alexandria describes a relaxed structure of Li4Cd2Ag5. The functional is PBE.

It has space group C2/m (No. 12), with a = 19.877 Å, b = 2.816 Å, c = 7.268 Å, α = 90.00°, β = 92.80° and γ = 90.00°. The distinct sites, in fractional coordinates, are Li at (0.056, 0.000, 0.335), Li at (0.220, 0.500, 0.804), Cd at (0.083, 0.000, 0.725), Ag at (0.000, 0.500, 0.000), Ag at (0.148, 0.000, 0.081) and Ag at (0.187, 0.000, 0.463).

Its relative energy among the computed polymorphs is 106 meV/atom. The formation energy comes out at -0.0818 eV per atom.

=====

# 8
This record from Alexandria describes a relaxed structure of HgH2SO5. The functional is PBE.

It has space group Pna2_1 (No. 33), with a = 7.950 Å, b = 9.162 Å, c = 5.618 Å, α = 90.00°, β = 90.00° and γ = 90.00°. The distinct sites, in fractional coordinates, are Hg at (0.139, 0.212, 0.000), H at (0.038, 0.486, 0.142), H at (0.208, 0.506, 0.000), S at (0.085, 0.862, 0.998), O at (0.084, 0.075, 0.500), O at (0.097, 0.457, 0.995), O at (0.110, 0.770, 0.780), O at (0.111, 0.769, 0.216) and O at (0.219, 0.982, 0.999).

The total DFT energy (no corrections) comes out at -180.19 eV per cell.